Entry from Alexandria: a relaxed structure of LuPdS2 (PBE-GGA).

Results
- N(E_F) (states/eV/f.u.) = 3.802
- space-group type = R-3m (166)
- formation energy from raw total energies (kcal/mol of atoms) = -25.975

a b c (Å): 3.9332 3.9332 6.0832
angles (deg): 71.14 71.14 60.00
Positions (direct):
S 0.7488 0.7488 0.7537
S 0.2512 0.2512 0.2463
Lu 0.5000 0.5000 0.5000
Pd 0.0000 0.0000 0.0000

***

Entry from Alexandria: a relaxed structure of LaHf2Nb (PBE-GGA).

Results
- N(E_F) (states/eV/f.u.) = 4.594
- distance to the lowest polymorph of the same formula (meV per atom) = 578.0
- space-group type = I-42d (122)

a b c (Å): 4.3554 4.3554 10.9476
angles (deg): 78.53 78.53 90.00
Positions (direct):
Nb 0.5000 0.5000 0.0000
Nb 0.2500 0.7500 0.5000
Hf 0.6106 0.1250 0.2500
Hf 0.1394 0.6250 0.2500
Hf 0.3750 0.3894 0.7500
Hf 0.8750 0.8606 0.7500
La 0.0000 0.0000 0.0000
La 0.7500 0.2500 0.5000

***

Entry from Alexandria: a relaxed structure of Mn4PdPt2 (PBE-GGA).

Results
- N(E_F) (states/eV/f.u.) = 4.350
- VASP energy (eV per atom) = -7.788
- space-group type = I4/mmm (139)

a b c (Å): 5.3531 5.3531 5.3531
angles (deg): 113.20 107.64 107.64
Positions (direct):
Mn 0.5000 0.0000 0.0000
Mn 0.5000 0.5000 0.5000
Mn 0.0000 0.0000 0.5000
Mn 0.0000 0.5000 0.0000
Pd 0.0000 0.0000 0.0000
Pt 0.5000 0.5000 0.0000
Pt 0.5000 0.0000 0.5000

***

Entry from Alexandria: a relaxed structure of Dy5N4 (PBE-GGA).

Results
- N(E_F) (states/eV/f.u.) = 2.937
- distance to the lowest polymorph of the same formula (meV per atom) = 810.0
- space-group type = I4/mmm (139)
- formation energy from raw total energies (kcal/mol of atoms) = -9.051

a b c (Å): 3.1178 7.3913 7.3913
angles (deg): 87.45 77.82 77.82
Positions (direct):
Dy 0.7375 0.2625 0.2625
Dy 0.2625 0.7375 0.7375
Dy 0.0000 0.0000 0.0000
Dy 0.0000 0.7375 0.2625
Dy 0.0000 0.2625 0.7375
N 0.6400 0.0000 0.7199
N 0.3600 0.2801 0.0000
N 0.3600 0.0000 0.2801
N 0.6400 0.7199 0.0000

***

Entry from Alexandria: a relaxed structure of AcNdY5Ho2 (PBE-GGA).

Results
- N(E_F) (states/eV/f.u.) = 12.314
- VASP energy (eV per atom) = -5.435
- space-group type = Cmc2_1 (36)

a b c (Å): 5.5946 12.2141 9.4262
angles (deg): 90.00 90.00 103.24
Positions (direct):
Ac 0.6023 0.2045 0.9286
Ac 0.3977 0.7955 0.4286
Nd 0.7626 0.5252 0.5354
Nd 0.2374 0.4748 0.0354
Y 0.3971 0.7943 0.0326
Y 0.7422 0.4844 0.8621
Y 0.4750 0.9500 0.7493
Y 0.3104 0.6208 0.7289
Y 0.0069 0.0138 0.5243
Y 0.6029 0.2057 0.5326
Y 0.2578 0.5156 0.3621
Y 0.5250 0.0500 0.2493
Y 0.6896 0.3792 0.2289
Y 0.9931 0.9862 0.0243
Ho 0.8871 0.7743 0.7894
Ho 0.1687 0.3373 0.6734
Ho 0.1129 0.2257 0.2894
Ho 0.8313 0.6627 0.1734

***

Entry from Alexandria: a relaxed structure of PaTaMn4 (PBE-GGA).

Results
- N(E_F) (states/eV/f.u.) = 6.931
- VASP energy (eV per atom) = -9.672
- space-group type = F-43m (216)

a b c (Å): 4.9954 4.9954 4.9954
angles (deg): 60.00 60.00 60.00
Positions (direct):
Pa 0.2500 0.2500 0.2500
Mn 0.6252 0.6252 0.1243
Mn 0.6252 0.1243 0.6252
Mn 0.6252 0.6252 0.6252
Mn 0.1243 0.6252 0.6252
Ta 0.0000 0.0000 0.0000

***

Entry from Alexandria: a relaxed structure of Y4CuBi (PBE-GGA).

Results
- N(E_F) (states/eV/f.u.) = 7.384
- VASP energy (eV per atom) = -5.987
- space-group type = P2_1/m (11)

a b c (Å): 6.2135 6.6483 8.7509
angles (deg): 90.00 109.93 90.00
Positions (direct):
Y 0.5645 0.2500 0.4003
Y 0.4355 0.7500 0.5997
Y 0.6046 0.2500 0.8907
Y 0.3954 0.7500 0.1093
Y 0.9973 0.0016 0.2945
Y 0.0027 0.5016 0.7055
Y 0.9973 0.4984 0.2945
Y 0.0027 0.9984 0.7055
Cu 0.2616 0.2500 0.5706
Cu 0.7384 0.7500 0.4294
Bi 0.2005 0.2500 0.0441
Bi 0.7995 0.7500 0.9559

***

Entry from Alexandria: a relaxed structure of Pm6Te3P2Pb (PBE-GGA).

Results
- N(E_F) (states/eV/f.u.) = 5.392
- space-group type = C2/m (12)
- formation energy from raw total energies (kcal/mol of atoms) = -31.592

a b c (Å): 4.3145 8.8788 9.8349
angles (deg): 104.16 102.67 90.00
Positions (direct):
Pm 0.3311 0.8860 0.6621
Pm 0.6758 0.5648 0.3517
Pm 0.6689 0.1140 0.3379
Pm 0.0123 0.2550 0.0245
Pm 0.9877 0.7450 0.9755
Pm 0.3242 0.4352 0.6483
Te 0.5000 0.5000 0.0000
Te 0.8371 0.1678 0.6742
Te 0.1629 0.8322 0.3258
P 0.8307 0.6623 0.6614
P 0.1693 0.3377 0.3386
Pb 0.5000 0.0000 0.0000

***

The lowest N(E_F) belongs to which entry?
Dy5N4

***

Which value of N(E_F) does entry 8 give?
5.392 states/eV/f.u.

***

What is the N(E_F) in the fifth record?
12.314 states/eV/f.u.